# PuZn12Pd6 (PBE, relaxed)
# - spin magnetization (μB/f.u.) = 5.8
# - E_form (eV per atom) = -0.2716
data_PuZn12Pd6
_chemical_formula_sum 'Pu3 Zn36 Pd18'
_space_group_name_H-M_alt 'R -3 m'
_space_group_IT_number 166
_space_group_name_Hall '-R 3 2"'
_cell_length_a 11.3490
_cell_length_b 11.3490
_cell_length_c 8.6802
_cell_angle_alpha 90.00
_cell_angle_beta 90.00
_cell_angle_gamma 120.00
loop_
_atom_site_label
_atom_site_type_symbol
_atom_site_fract_x
_atom_site_fract_y
_atom_site_fract_z
Pu1 Pu 0.0000 0.0000 0.0000
Zn1 Zn 0.0000 0.3889 0.5000
Zn2 Zn 0.0859 0.1718 0.3028
Pd1 Pd 0.0524 0.5262 0.2450